(1)
A plane-wave DFT calculation with GGA-PBE was carried out for KTl2PdCl6 after structural relaxation.

a = 7.4993 Å, b = 7.4993 Å, c = 7.4993 Å
α = 60.00°, β = 60.00°, γ = 60.00°
Closest atoms and distances in Å follow each position.
Fractional coordinates of all 10 atoms:
Cl1 0.7267 0.2733 0.2733  1 Pd 2.40
Cl2 0.2733 0.7267 0.2733  1 Pd 2.40
Cl3 0.7267 0.7267 0.2733  1 Pd 2.40
Cl4 0.2733 0.2733 0.7267  1 Pd 2.40
Cl5 0.7267 0.2733 0.7267  1 Pd 2.40
Cl6 0.2733 0.7267 0.7267  1 Pd 2.40
K1 0.0000 0.0000 0.0000  6 Cl 2.90
Pd1 0.5000 0.5000 0.5000  6 Cl 2.40
Tl1 0.2500 0.2500 0.2500  12 Cl 3.76
Tl2 0.7500 0.7500 0.7500  12 Cl 3.76

Output
- Calculated total energy: -30.98 eV per cell
- SG: Fm-3m

(2)
A plane-wave DFT calculation with GGA-PBE was carried out for K3PmCl6 after structural relaxation.

a = 7.5354 Å, b = 7.9837 Å, c = 13.0083 Å
α = 90.00°, β = 124.04°, γ = 90.00°
Closest atoms and distances in Å follow each position.
Fractional coordinates of all 20 atoms:
Cl1 0.3490 0.1840 0.0600  1 Pm 2.72, 1 K 3.04
Cl2 0.2533 0.7201 0.0810  1 Pm 2.74
Cl3 0.0957 0.0620 0.2318  1 Pm 2.72
Cl4 0.9043 0.5620 0.2682  1 Pm 2.72
Cl5 0.7467 0.2201 0.4190  1 Pm 2.74
Cl6 0.6510 0.6840 0.4400  1 Pm 2.72, 1 K 3.04
Cl7 0.3490 0.3160 0.5600  1 Pm 2.72, 1 K 3.04
Cl8 0.2533 0.7799 0.5810  1 Pm 2.74
Cl9 0.0957 0.4380 0.7318  1 Pm 2.72
Cl10 0.9043 0.9380 0.7682  1 Pm 2.72
Cl11 0.7467 0.2799 0.9190  1 Pm 2.74
Cl12 0.6510 0.8160 0.9400  1 Pm 2.72, 1 K 3.04
K1 0.5000 0.5000 0.0000  6 Cl 3.04-3.14
K2 0.7125 0.9276 0.2412  6 Cl 3.15-3.47
K3 0.2875 0.4276 0.2588  6 Cl 3.15-3.47
K4 0.5000 0.0000 0.5000  6 Cl 3.04-3.14
K5 0.7125 0.5724 0.7412  6 Cl 3.15-3.47
K6 0.2875 0.0724 0.7588  6 Cl 3.15-3.47
Pm1 0.0000 0.0000 0.0000  6 Cl 2.72-2.74
Pm2 0.0000 0.5000 0.5000  6 Cl 2.72-2.74

Output
- Calculated total energy: -80.72 eV per cell
- SG: P2_1/c

(3)
A plane-wave DFT calculation with GGA-PBE was carried out for K2PtCl6 after structural relaxation.

a = 6.9942 Å, b = 6.9942 Å, c = 6.9942 Å
α = 120.47°, β = 120.47°, γ = 89.19°
Closest atoms and distances in Å follow each position.
Fractional coordinates of all 9 atoms:
Cl1 0.2352 0.2352 0.0000  1 Pt 2.34
Cl2 0.7648 0.7648 0.0000  1 Pt 2.34
Cl3 0.7787 0.2546 0.0333  1 Pt 2.34
Cl4 0.2546 0.2213 0.4759  1 Pt 2.34
Cl5 0.7454 0.7787 0.5241  1 Pt 2.34
Cl6 0.2213 0.7454 0.9667  1 Pt 2.34
K1 0.7500 0.2500 0.5000  12 Cl 3.39-3.62
K2 0.2500 0.7500 0.5000  12 Cl 3.39-3.62
Pt1 0.0000 0.0000 0.0000  6 Cl 2.34

Output
- Calculated total energy: -30.15 eV per cell
- SG: I4/m

(4)
A plane-wave DFT calculation with GGA-PBE was carried out for K3PtCl6 after structural relaxation.

a = 7.5074 Å, b = 7.5074 Å, c = 7.5074 Å
α = 60.00°, β = 60.00°, γ = 60.00°
Closest atoms and distances in Å follow each position.
Fractional coordinates of all 10 atoms:
Cl1 0.7723 0.2277 0.2277  1 Pt 2.42
Cl2 0.2277 0.7723 0.2277  1 Pt 2.42
Cl3 0.7723 0.7723 0.2277  1 Pt 2.42
Cl4 0.2277 0.2277 0.7723  1 Pt 2.42
Cl5 0.7723 0.2277 0.7723  1 Pt 2.42
Cl6 0.2277 0.7723 0.7723  1 Pt 2.42
K1 0.2500 0.2500 0.2500  12 Cl 3.76
K2 0.5000 0.5000 0.5000  6 Cl 2.89
K3 0.7500 0.7500 0.7500  12 Cl 3.76
Pt1 0.0000 0.0000 0.0000  6 Cl 2.42

Output
- Calculated total energy: -32.93 eV per cell
- SG: Fm-3m

Q: Which of these has the highest calculated total energy?
A: K2PtCl6

Q: Which value of calculated total energy does entry 1 give?
A: -30.98 eV per cell